Record 1
Te2MoPb | PBE | relaxed

Properties
Total magnetization ... 3.7 μB/f.u.
Density of states at the Fermi level ... 2.5 states/eV/f.u.
Calculated density ... 8.43 g cm⁻³
Electronic total energy ... -4.579 eV/atom

```
data_Te2MoPb
_chemical_formula_sum 'Te4 Mo2 Pb2'
_cell_length_a 4.4426
_cell_length_b 4.4426
_cell_length_c 11.1406
_cell_angle_alpha 90.00
_cell_angle_beta 90.00
_cell_angle_gamma 90.00
_symmetry_space_group_name_H-M 'I -4 m 2'
_symmetry_Int_Tables_number 119
_symmetry_space_group_name_Hall 'I -4 -2'
loop_
_atom_site_label
_atom_site_type_symbol
_atom_site_fract_x
_atom_site_fract_y
_atom_site_fract_z
Te1 Te 0.0000 0.0000 0.0000
Te2 Te 0.0000 0.5000 0.2500
Mo1 Mo 0.0000 0.5000 0.7500
Pb1 Pb 0.0000 0.0000 0.5000
```

Record 2
TeMo2Pb | PBE | relaxed

Properties
Total magnetization ... 0.0 μB/f.u.
Density of states at the Fermi level ... 5.4 states/eV/f.u.
Energy above the lowest structure with this stoichiometry ... 0.648 eV per atom
Calculated density ... 10.62 g cm⁻³

```
data_TeMo2Pb
_chemical_formula_sum 'Te2 Mo4 Pb2'
_cell_length_a 3.3214
_cell_length_b 5.5161
_cell_length_c 8.9932
_cell_angle_alpha 90.00
_cell_angle_beta 90.00
_cell_angle_gamma 90.00
_symmetry_space_group_name_H-M 'I m m m'
_symmetry_Int_Tables_number 71
_symmetry_space_group_name_Hall '-I 2 2'
loop_
_atom_site_label
_atom_site_type_symbol
_atom_site_fract_x
_atom_site_fract_y
_atom_site_fract_z
Te1 Te 0.0000 0.0000 0.0000
Mo1 Mo 0.0000 0.5000 0.2657
Pb1 Pb 0.0000 0.0000 0.5000
```

Record 3
TeMo4Pb | PBE | relaxed

Properties
Total magnetization ... 0.0 μB/f.u.
Density of states at the Fermi level ... 5.0 states/eV/f.u.
Calculated density ... 10.47 g cm⁻³
Electronic total energy ... -7.760 eV/atom

```
data_TeMo4Pb
_chemical_formula_sum 'Te4 Mo16 Pb4'
_cell_length_a 7.6963
_cell_length_b 7.6963
_cell_length_c 7.6963
_cell_angle_alpha 90.00
_cell_angle_beta 90.00
_cell_angle_gamma 90.00
_symmetry_space_group_name_H-M 'F -4 3 m'
_symmetry_Int_Tables_number 216
_symmetry_space_group_name_Hall 'F -4 2 3'
loop_
_atom_site_label
_atom_site_type_symbol
_atom_site_fract_x
_atom_site_fract_y
_atom_site_fract_z
Te1 Te 0.0000 0.0000 0.0000
Mo1 Mo 0.1265 0.1265 0.6265
Pb1 Pb 0.2500 0.2500 0.2500
```